1.
First-principles (GGA-PBE) data for crystalline NaCdReBi2 at its relaxed geometry, as listed in Alexandria via LeMat-Bulk.

Lattice parameters (Å, degrees): 5.341 5.341 5.420 90.00 90.00 90.00
Positions (direct):
Na 0.000 0.000 0.000
Cd 0.500 0.500 0.000
Re 0.500 0.500 0.500
Bi 0.000 0.500 0.500
Bi 0.500 0.000 0.500

Summary:
* N(E_F): 0.48 states/eV/atom
* VASP energy: -0.149 Ha/atom



2.
First-principles (GGA-PBE) data for crystalline Na3CdBi2S6 at its relaxed geometry, as listed in Alexandria via LeMat-Bulk.

Lattice parameters (Å, degrees): 6.899 6.899 7.174 99.25 99.25 119.99
Positions (direct):
Na 0.000 0.000 0.000
Na 0.330 0.670 0.000
Na 0.670 0.330 0.000
Cd 0.500 0.500 0.500
Bi 0.166 0.834 0.500
Bi 0.834 0.166 0.500
S 0.093 0.423 0.268
S 0.248 0.248 0.735
S 0.423 0.093 0.268
S 0.577 0.907 0.732
S 0.752 0.752 0.265
S 0.907 0.577 0.732

Summary:
* N(E_F): 0.61 states/eV/atom
* VASP energy: -0.140 Ha/atom
* uncorrected formation energy: -0.6866 eV/atom